First-principles (PBE) data for a geometry-optimized LuSiIr structure, as listed in OQMD via LeMat-Bulk.

a b c (Å): 6.6979 4.1729 7.4214
angles (deg): 90.00 90.00 90.00
Positions (direct):
1 Lu 0.0072 0.2500 0.1875
2 Lu 0.4928 0.7500 0.6875
3 Lu 0.5072 0.2500 0.3125
4 Lu 0.9928 0.7500 0.8125
5 Si 0.2060 0.7500 0.3863
6 Si 0.2940 0.2500 0.8863
7 Si 0.7060 0.7500 0.1137
8 Si 0.7940 0.2500 0.6137
9 Ir 0.1598 0.2500 0.5649
10 Ir 0.3402 0.7500 0.0649
11 Ir 0.6598 0.2500 0.9351
12 Ir 0.8402 0.7500 0.4351

Results
Calculated volume, A^3/atom: 17.3
Magnetization, Bohr magnetons per cell: 0.006
DFT total energy, eV/cell: -88.57
ρ, g/cm3: 12.7

First-principles (PBE) data for a geometry-optimized DyErSi2 structure, as listed in OQMD via LeMat-Bulk.

a b c (Å): 3.8166 5.6722 7.8615
angles (deg): 90.00 90.00 90.00
Positions (direct):
1 Dy 0.0000 0.1351 0.0000
2 Dy 0.0000 0.8649 0.5000
3 Er 0.5000 0.3651 0.6418
4 Er 0.5000 0.6349 0.1418
5 Si 0.0000 0.3792 0.3591
6 Si 0.0000 0.6208 0.8591
7 Si 0.5000 0.1209 0.2828
8 Si 0.5000 0.8791 0.7828

Results
ΔE to the lowest computed polymorph, meV per atom: 0
Calculated volume, A^3/atom: 21.3
Magnetization, Bohr magnetons per cell: 0.011
ρ, g/cm3: 7.5

First-principles (PBE) data for a geometry-optimized HgC8 structure, as listed in OQMD via LeMat-Bulk.

a b c (Å): 4.9273 4.9273 6.2745
angles (deg): 90.00 90.00 120.00
Positions (direct):
1 Hg 0.0000 0.0000 0.0000
2 C 0.1668 0.3336 0.5000
3 C 0.1668 0.8332 0.5000
4 C 0.3333 0.6667 0.5000
5 C 0.3336 0.1668 0.5000
6 C 0.6664 0.8332 0.5000
7 C 0.6667 0.3333 0.5000
8 C 0.8332 0.1668 0.5000
9 C 0.8332 0.6664 0.5000

Results
ΔE to the lowest computed polymorph, meV per atom: 7
Calculated volume, A^3/atom: 14.7
ρ, g/cm3: 3.7

First-principles (PBE) data for a geometry-optimized Hf2Sb3W4C3 structure, as listed in OQMD via LeMat-Bulk.

a b c (Å): 5.7772 5.7772 13.4055
angles (deg): 101.17 101.17 60.29
Positions (direct):
1 Hf 0.0312 0.8640 0.5959
2 Hf 0.1360 0.9688 0.9041
3 Hf 0.8640 0.0312 0.0959
4 Hf 0.9688 0.1360 0.4041
5 Sb 0.0797 0.2789 0.7473
6 Sb 0.2789 0.0797 0.2473
7 Sb 0.4423 0.5577 0.7500
8 Sb 0.5577 0.4423 0.2500
9 Sb 0.7211 0.9203 0.7527
10 Sb 0.9203 0.7211 0.2527
11 W 0.1931 0.3480 0.0762
12 W 0.3070 0.4870 0.4219
13 W 0.3480 0.1931 0.5762
14 W 0.4870 0.3070 0.9219
15 W 0.5130 0.6930 0.0781
16 W 0.6520 0.8069 0.4238
17 W 0.6930 0.5130 0.5781
18 W 0.8069 0.6520 0.9238
19 C 0.0000 0.5000 0.5000
20 C 0.1665 0.6622 0.9994
21 C 0.3378 0.8335 0.5006
22 C 0.5000 0.0000 0.0000
23 C 0.6622 0.1665 0.4994
24 C 0.8335 0.3378 0.0006

Results
Calculated volume, A^3/atom: 15.8
Magnetization, Bohr magnetons per cell: 0.003
DFT total energy, eV/cell: -225.03
ρ, g/cm3: 13.1

Question: Look up the calculated volume of the second one.
Answer: 21.3 A^3/atom

What did the second record say?
First-principles (PBE) data for a geometry-optimized DyErSi2 structure, as listed in OQMD via LeMat-Bulk.

a b c (Å): 3.8166 5.6722 7.8615
angles (deg): 90.00 90.00 90.00
Positions (direct):
1 Dy 0.0000 0.1351 0.0000
2 Dy 0.0000 0.8649 0.5000
3 Er 0.5000 0.3651 0.6418
4 Er 0.5000 0.6349 0.1418
5 Si 0.0000 0.3792 0.3591
6 Si 0.0000 0.6208 0.8591
7 Si 0.5000 0.1209 0.2828
8 Si 0.5000 0.8791 0.7828

Results
ΔE to the lowest computed polymorph, meV per atom: 0
Calculated volume, A^3/atom: 21.3
Magnetization, Bohr magnetons per cell: 0.011
ρ, g/cm3: 7.5

Repeat the fourth record exactly.
First-principles (PBE) data for a geometry-optimized Hf2Sb3W4C3 structure, as listed in OQMD via LeMat-Bulk.

a b c (Å): 5.7772 5.7772 13.4055
angles (deg): 101.17 101.17 60.29
Positions (direct):
1 Hf 0.0312 0.8640 0.5959
2 Hf 0.1360 0.9688 0.9041
3 Hf 0.8640 0.0312 0.0959
4 Hf 0.9688 0.1360 0.4041
5 Sb 0.0797 0.2789 0.7473
6 Sb 0.2789 0.0797 0.2473
7 Sb 0.4423 0.5577 0.7500
8 Sb 0.5577 0.4423 0.2500
9 Sb 0.7211 0.9203 0.7527
10 Sb 0.9203 0.7211 0.2527
11 W 0.1931 0.3480 0.0762
12 W 0.3070 0.4870 0.4219
13 W 0.3480 0.1931 0.5762
14 W 0.4870 0.3070 0.9219
15 W 0.5130 0.6930 0.0781
16 W 0.6520 0.8069 0.4238
17 W 0.6930 0.5130 0.5781
18 W 0.8069 0.6520 0.9238
19 C 0.0000 0.5000 0.5000
20 C 0.1665 0.6622 0.9994
21 C 0.3378 0.8335 0.5006
22 C 0.5000 0.0000 0.0000
23 C 0.6622 0.1665 0.4994
24 C 0.8335 0.3378 0.0006

Results
Calculated volume, A^3/atom: 15.8
Magnetization, Bohr magnetons per cell: 0.003
DFT total energy, eV/cell: -225.03
ρ, g/cm3: 13.1